A plane-wave DFT calculation with PBE-GGA was carried out for a geometry-optimized RbCa3Bi structure.

Magnetization ... 1.39 μB/f.u.
Crystal system ... cubic
Energy relative to the elements ... -0.166 eV per atom

extended XYZ file:
```
5
Lattice="6.2899 0.0000 0.0000 0.0000 6.2899 0.0000 0.0000 0.0000 6.2899" Properties=species:S:1:pos:R:3 pbc="T T T"
Rb 0.0000 0.0000 0.0000
Ca 0.0000 3.1450 3.1450
Ca 3.1450 0.0000 3.1450
Ca 3.1450 3.1450 0.0000
Bi 3.1450 3.1450 3.1450
```